This record from Alexandria via LeMat-Bulk describes crystalline Sr2AcFeO6 at its relaxed geometry. The functional is PBE with a Hubbard U.

Cell and atoms, written as POSCAR:
```
Sr2AcFeO6
1.0
5.9164 0.0000 0.0000
0.0000 6.0166 0.0000
-5.7308 0.0000 8.4197
Sr Ac Fe O
4 2 2 12
direct
0.2335 0.0434 0.2489
0.2335 0.4566 0.7489
0.7665 0.5434 0.2511
0.7665 0.9566 0.7511
0.5000 0.0000 0.0000
0.5000 0.5000 0.5000
0.0000 0.0000 0.5000
0.0000 0.5000 0.0000
0.1258 0.2385 0.9456
0.1258 0.2615 0.4456
0.2120 0.6864 0.9535
0.2120 0.8136 0.4535
0.3109 0.0324 0.7192
0.3109 0.4676 0.2192
0.6891 0.5324 0.7808
0.6891 0.9676 0.2808
0.7880 0.1864 0.5465
0.7880 0.3136 0.0465
0.8742 0.7385 0.5544
0.8742 0.7615 0.0544
```

Properties
Space group: No. 14
Uncorrected energy, eV/atom: -6.52